CaDyEr2Te4 after structural relaxation, computed with PBE.

Computed properties:
The value obtained for the density of states at the Fermi level is 0.452 states/eV per atom. As for the energy: -38.9 eV for the cell shown. Its formation energy without anion corrections is -10.6 eV per formula unit.

a b c (Å): 7.5628 4.3476 7.5813
angles (deg): 90.00 109.13 90.00
Sites, in units of the cell vectors:
Ca 0.0000 0.0000 0.0000
Dy 0.0000 0.5000 0.5000
Er 0.5000 0.0000 0.5000
Er 0.5000 0.5000 0.0000
Te 0.2539 0.0000 0.7503
Te 0.2553 0.5000 0.2532
Te 0.7447 0.5000 0.7468
Te 0.7461 0.0000 0.2497

CaDy2ErTe4 after structural relaxation, computed with PBE.

Computed properties:
The value obtained for the density of states at the Fermi level is 0.451 states/eV per atom. As for the energy: -39.1 eV for the cell shown. Its formation energy without anion corrections is -10.8 eV per formula unit.

a b c (Å): 7.5737 4.3520 7.5972
angles (deg): 90.00 109.09 90.00
Sites, in units of the cell vectors:
Ca 0.0000 0.0000 0.0000
Dy 0.0000 0.5000 0.5000
Dy 0.5000 0.0000 0.5000
Er 0.5000 0.5000 0.0000
Te 0.2528 0.0000 0.7515
Te 0.2532 0.5000 0.2510
Te 0.7472 0.0000 0.2485
Te 0.7468 0.5000 0.7490

CaDy3Er2Te6 after structural relaxation, computed with PBE.

Computed properties:
The value obtained for the density of states at the Fermi level is 0.472 states/eV per atom. As for the energy: -59.5 eV for the cell shown. Its formation energy without anion corrections is -15.8 eV per formula unit.

a b c (Å): 9.7628 9.7628 8.7440
angles (deg): 103.34 103.34 25.79
Sites, in units of the cell vectors:
Ca 0.0000 0.0000 0.0000
Dy 0.0000 0.0000 0.5000
Dy 0.3351 0.3351 0.1769
Dy 0.6649 0.6649 0.8231
Er 0.3296 0.3296 0.6593
Er 0.6704 0.6704 0.3407
Te 0.1656 0.1656 0.5794
Te 0.1683 0.1683 0.0840
Te 0.4969 0.4969 0.7473
Te 0.5031 0.5031 0.2527
Te 0.8317 0.8317 0.9160
Te 0.8344 0.8344 0.4206

Ca4Dy3ErTe8 after structural relaxation, computed with PBE.

Computed properties:
The value obtained for the density of states at the Fermi level is 0.381 states/eV per atom. As for the energy: -74.6 eV for the cell shown. Its formation energy without anion corrections is -23.1 eV per formula unit.

a b c (Å): 8.9000 8.9000 8.9000
angles (deg): 59.04 59.04 59.04
Sites, in units of the cell vectors:
Ca 0.0000 0.0000 0.0000
Ca 0.0000 0.5000 0.5000
Ca 0.5000 0.0000 0.5000
Ca 0.5000 0.5000 0.0000
Dy 0.0000 0.0000 0.5000
Dy 0.0000 0.5000 0.0000
Dy 0.5000 0.0000 0.0000
Er 0.5000 0.5000 0.5000
Te 0.2483 0.2483 0.2483
Te 0.2498 0.7469 0.7469
Te 0.2531 0.2531 0.7502
Te 0.2531 0.7502 0.2531
Te 0.7469 0.2498 0.7469
Te 0.7469 0.7469 0.2498
Te 0.7502 0.2531 0.2531
Te 0.7517 0.7517 0.7517

CaDy2Er3Te6 after structural relaxation, computed with PBE.

Computed properties:
The value obtained for the density of states at the Fermi level is 0.473 states/eV per atom. As for the energy: -59.4 eV for the cell shown. Its formation energy without anion corrections is -15.7 eV per formula unit.

a b c (Å): 9.7525 9.7525 8.7255
angles (deg): 103.21 103.21 25.81
Sites, in units of the cell vectors:
Ca 0.0000 0.0000 0.0000
Dy 0.3279 0.3279 0.6562
Dy 0.6721 0.6721 0.3438
Er 0.0000 0.0000 0.5000
Er 0.3334 0.3334 0.1754
Er 0.6666 0.6666 0.8246
Te 0.1634 0.1634 0.5836
Te 0.1682 0.1682 0.0809
Te 0.4985 0.4985 0.7458
Te 0.5015 0.5015 0.2542
Te 0.8318 0.8318 0.9191
Te 0.8366 0.8366 0.4164

CaDyEr2Tl4 after structural relaxation, computed with PBE.

Computed properties:
The value obtained for the density of states at the Fermi level is 0.647 states/eV per atom. As for the energy: -27.9 eV for the cell shown. Its formation energy is -7.9 kcal/mol of atoms.

a b c (Å): 9.3287 9.3287 9.3287
angles (deg): 33.47 33.47 33.47
Sites, in units of the cell vectors:
Ca 0.0000 0.0000 0.0000
Dy 0.5000 0.5000 0.5000
Er 0.2518 0.2518 0.2518
Er 0.7482 0.7482 0.7482
Tl 0.1261 0.1261 0.1261
Tl 0.3763 0.3763 0.3763
Tl 0.6237 0.6237 0.6237
Tl 0.8739 0.8739 0.8739

CaDy2ErTl4 after structural relaxation, computed with PBE.

Computed properties:
The value obtained for the density of states at the Fermi level is 0.690 states/eV per atom. As for the energy: -28.0 eV for the cell shown. Its formation energy is -8.0 kcal/mol of atoms.

a b c (Å): 9.3402 9.3402 9.3402
angles (deg): 33.50 33.50 33.50
Sites, in units of the cell vectors:
Ca 0.0000 0.0000 0.0000
Dy 0.2520 0.2520 0.2520
Dy 0.7480 0.7480 0.7480
Er 0.5000 0.5000 0.5000
Tl 0.1266 0.1266 0.1266
Tl 0.3770 0.3770 0.3770
Tl 0.6230 0.6230 0.6230
Tl 0.8734 0.8734 0.8734

CaDyErTl after structural relaxation, computed with PBE.

Computed properties:
The value obtained for the density of states at the Fermi level is 1.028 states/eV per atom. As for the energy: -13.6 eV for the cell shown. Its formation energy is -0.5 kcal/mol of atoms.

a b c (Å): 5.4957 5.4957 5.4957
angles (deg): 60.00 60.00 60.00
Sites, in units of the cell vectors:
Ca 0.0000 0.0000 0.0000
Dy 0.7500 0.7500 0.7500
Er 0.2500 0.2500 0.2500
Tl 0.5000 0.5000 0.5000